Entry 1:
This record from Alexandria via LeMat-Bulk describes a relaxed structure of La6In5Ag. The functional is PBE-GGA.

a = 5.5513 Å, b = 7.9383 Å, c = 8.7824 Å
α = 90.00°, β = 108.37°, γ = 90.00°
Last column: nearest neighbours and their distance in Å.
Fractional positions:
La1 0.0000 0.2446 0.0000  6 In 3.39-3.45, 2 Ag 3.39
La2 0.0000 0.7554 0.0000  6 In 3.39-3.45, 2 Ag 3.39
La3 0.3359 0.2472 0.6721  1 Ag 3.36, 7 In 3.39-3.45
La4 0.3359 0.7528 0.6721  1 Ag 3.36, 7 In 3.39-3.45
La5 0.6641 0.2472 0.3279  1 Ag 3.36, 7 In 3.39-3.45
La6 0.6641 0.7528 0.3279  1 Ag 3.36, 7 In 3.39-3.45
In1 0.1665 0.0000 0.3329  8 La 3.39-3.44
In2 0.1676 0.5000 0.3350  8 La 3.43-3.45
In3 0.5000 0.5000 0.0000  8 La 3.39-3.44
In4 0.8324 0.5000 0.6650  8 La 3.43-3.45
In5 0.8335 0.0000 0.6671  8 La 3.39-3.44
Ag1 0.5000 0.0000 0.0000  8 La 3.36-3.39

Calculated values
Space-group type: P2/m, No. 10

---

Entry 2:
This record from Alexandria via LeMat-Bulk describes a relaxed structure of La2InAg. The functional is PBE-GGA.

a = 6.1449 Å, b = 6.1449 Å, c = 6.1449 Å
α = 135.34°, β = 135.34°, γ = 65.00°
Last column: nearest neighbours and their distance in Å.
Fractional positions:
La1 0.0000 0.0000 0.0000  4 In 3.30, 4 Ag 3.49, 4 La 3.49
La2 0.7500 0.2500 0.5000  4 Ag 3.30, 4 In 3.49, 4 La 3.49
In1 0.5000 0.5000 0.0000  8 La 3.30-3.49, 4 Ag 3.49
Ag1 0.2500 0.7500 0.5000  8 La 3.30-3.49, 4 In 3.49

Calculated values
Space-group type: I-4m2, No. 119

---

Entry 3:
This record from Alexandria via LeMat-Bulk describes a relaxed structure of La6InAg. The functional is PBE-GGA.

a = 9.7689 Å, b = 9.7689 Å, c = 9.7689 Å
α = 147.73°, β = 147.73°, γ = 46.29°
Last column: nearest neighbours and their distance in Å.
Fractional positions:
La1 0.1099 0.6099 0.5000  2 In 3.36, 2 Ag 3.36, 4 La 3.67-3.73
La2 0.2475 0.2475 0.0000  12 La 3.67-3.84
La3 0.3901 0.8901 0.5000  2 Ag 3.36, 2 In 3.36, 4 La 3.67-3.73
La4 0.6099 0.1099 0.5000  2 In 3.36, 2 Ag 3.36, 4 La 3.67-3.73
La5 0.7525 0.7525 0.0000  12 La 3.67-3.84
La6 0.8901 0.3901 0.5000  2 Ag 3.36, 2 In 3.36, 4 La 3.67-3.73
In1 0.0000 0.0000 0.0000  8 La 3.36
Ag1 0.5000 0.5000 0.0000  8 La 3.36

Calculated values
Space-group type: I4/mmm, No. 139

---

Entry 4:
This record from Alexandria via LeMat-Bulk describes a relaxed structure of La12InAg6. The functional is PBE-GGA.

a = 8.2556 Å, b = 8.2556 Å, c = 8.2556 Å
α = 88.55°, β = 88.55°, γ = 88.55°
Last column: nearest neighbours and their distance in Å.
Fractional positions:
La1 0.0441 0.3127 0.9456  3 Ag 3.27-3.43, 2 La 3.30-3.35
La2 0.0544 0.9559 0.6873  3 Ag 3.27-3.43, 2 La 3.30-3.35
La3 0.1236 0.3534 0.4877  2 La 3.13-3.35, 3 Ag 3.26-3.31, 1 In 3.37
La4 0.3127 0.9456 0.0441  3 Ag 3.27-3.43, 2 La 3.30-3.35
La5 0.3534 0.4877 0.1236  2 La 3.13-3.35, 3 Ag 3.26-3.31, 1 In 3.37
La6 0.4877 0.1236 0.3534  2 La 3.13-3.35, 3 Ag 3.26-3.31, 1 In 3.37
La7 0.5123 0.8764 0.6466  2 La 3.13-3.35, 3 Ag 3.26-3.31, 1 In 3.37
La8 0.6466 0.5123 0.8764  2 La 3.13-3.35, 3 Ag 3.26-3.31, 1 In 3.37
La9 0.6873 0.0544 0.9559  3 Ag 3.27-3.43, 2 La 3.30-3.35
La10 0.8764 0.6466 0.5123  2 La 3.13-3.35, 3 Ag 3.26-3.31, 1 In 3.37
La11 0.9456 0.0441 0.3127  3 Ag 3.27-3.43, 2 La 3.30-3.35
La12 0.9559 0.6873 0.0544  3 Ag 3.27-3.43, 2 La 3.30-3.35
In1 0.5000 0.5000 0.5000  6 Ag 3.10, 6 La 3.37
Ag1 0.2417 0.7560 0.3900  1 In 3.10, 2 Ag 3.24, 6 La 3.26-3.43
Ag2 0.2440 0.6100 0.7583  1 In 3.10, 2 Ag 3.24, 6 La 3.26-3.43
Ag3 0.3900 0.2417 0.7560  1 In 3.10, 2 Ag 3.24, 6 La 3.26-3.43
Ag4 0.6100 0.7583 0.2440  1 In 3.10, 2 Ag 3.24, 6 La 3.26-3.43
Ag5 0.7560 0.3900 0.2417  1 In 3.10, 2 Ag 3.24, 6 La 3.26-3.43
Ag6 0.7583 0.2440 0.6100  1 In 3.10, 2 Ag 3.24, 6 La 3.26-3.43

Calculated values
Space-group type: R-3, No. 148

---

| no. | ΔH_f (0 K) (eV/atom) |
| --- | --- |
| 1 | -0.462 |
| 2 | -0.296 |
| 3 | -0.178 |
| 4 | -0.106 |